A plane-wave DFT calculation with PBE was carried out for an optimized crystal structure of TaCu2W.

## Properties
**Calculated total energy**: -30.94 eV for the cell shown
**ΔE to the lowest computed polymorph**: 0.374 eV per atom

a b c (Å): 4.414 4.414 4.414
angles (deg): 60.00 60.00 60.00
Sites, in units of the cell vectors:
Ta  0.500  0.500  0.500
Cu  0.000  0.000  0.000
Cu  0.250  0.250  0.250
W  0.750  0.750  0.750